[1]
Below is a relaxed structure of Rb3VAg2Br9, with properties calculated at the PBE level.

Cell and atoms, written as POSCAR:
```
Rb3VAg2Br9
1.0
7.7174 0.0000 0.0000
-3.8587 6.6835 0.0000
0.0000 0.0000 9.4912
Rb V Ag Br
3 1 2 9
Cartesian
0.0000 0.0000 0.0000
0.0000 4.4557 6.5850
3.8587 2.2278 2.9062
0.0000 0.0000 4.7456
0.0000 4.4557 1.5615
3.8587 2.2278 7.9297
-1.9294 3.3417 0.0000
0.0000 2.0815 3.2930
-2.0561 5.6428 3.2930
1.8026 1.0407 6.1982
3.8587 0.0000 0.0000
1.9294 3.3417 0.0000
2.0561 5.6428 3.2930
5.9148 1.0407 6.1982
3.8587 4.6020 6.1982
```

Output
Formation energy (no corrections), meV per atom: -1016

[2]
Below is a relaxed structure of RbInTe, with properties calculated at the PBE level.

Cell and atoms, written as POSCAR:
```
RbInTe
1.0
-2.5425 2.5425 5.0023
2.5425 -2.5425 5.0023
2.5425 2.5425 -5.0023
Rb In Te
1 1 1
Cartesian
0.0000 0.0000 0.0000
0.0000 0.0000 6.5814
0.0000 0.0000 3.6297
```

Output
Formation energy (no corrections), meV per atom: -405

[3]
Below is a relaxed structure of Ba10Na2Ir3, with properties calculated at the PBE level.

Cell and atoms, written as POSCAR:
```
Ba10Na2Ir3
1.0
14.7678 -4.4994 0.0000
14.7678 4.4994 0.0000
-4.5535 0.0000 11.2883
Ba Na Ir
20 4 6
Cartesian
5.1072 2.2497 5.6441
-2.6138 0.0000 7.7785
10.3986 2.3425 0.4903
2.7300 0.0000 2.8102
9.4262 2.2767 5.1354
14.7678 2.4305 0.0000
3.3606 0.0000 8.8693
15.5559 2.2767 6.1529
14.5835 2.3425 10.7980
12.9079 0.0000 3.6204
5.1072 -2.2497 5.6441
12.0742 0.0000 7.6679
10.3986 -2.3425 0.4903
9.4262 -2.2767 5.1354
21.6215 0.0000 2.4190
14.7678 -2.4305 0.0000
15.5559 -2.2767 6.1529
22.2520 0.0000 8.4781
14.5835 -2.3425 10.7980
27.5959 0.0000 3.5097
7.0647 0.0000 2.1631
7.6873 0.0000 8.5372
17.2947 0.0000 2.7511
17.9174 0.0000 9.1252
-2.2123 0.0000 11.0129
2.9392 0.0000 5.9336
12.4910 2.2338 5.6441
12.4910 -2.2338 5.6441
22.0429 0.0000 5.3547
27.1944 0.0000 0.2753
```

Output
Energy of formation from the pure elements, meV/atom: -113

[4]
Below is a relaxed structure of La3TbPmEr, with properties calculated at the PBE level.

Cell and atoms, written as POSCAR:
```
La3TbPmEr
1.0
10.9764 0.0000 0.0000
0.0000 3.6666 0.0000
-3.6887 0.0000 10.3405
La Tb Pm Er
6 2 2 2
Cartesian
-0.3234 0.9166 4.6937
3.9088 2.7499 0.4187
1.5079 2.7499 7.3252
5.7797 0.9166 3.0154
3.3788 0.9166 9.9218
7.6110 2.7499 5.6468
-1.6144 0.9166 8.2198
8.9021 2.7499 2.1207
2.7028 2.7499 3.8486
4.5848 0.9166 6.4919
0.8643 0.9166 1.2580
6.4234 2.7499 9.0826
```

Output
Energy of formation from the pure elements, meV/atom: 24